Record 1
This record from Alexandria describes an optimized crystal structure of RbHgPb6. The functional is PBE.

a = 5.169 Å, b = 5.169 Å, c = 10.884 Å
α = 90.00°, β = 90.00°, γ = 90.00°
Atoms (fractional coordinates):
1 Rb 0.000 0.000 0.000
2 Hg 0.000 0.000 0.500
3 Pb 0.500 0.000 0.672
4 Pb 0.000 0.500 0.672
5 Pb 0.500 0.500 0.149
6 Pb 0.500 0.500 0.851
7 Pb 0.000 0.500 0.328
8 Pb 0.500 0.000 0.328

uncorrected energy	-2.972	eV per atom
DFT formation energy	-32	meV/atom



Record 2
This record from Alexandria describes an optimized crystal structure of RbHg2Pb2. The functional is PBE.

a = 5.038 Å, b = 5.038 Å, c = 7.597 Å
α = 70.64°, β = 70.64°, γ = 90.00°
Atoms (fractional coordinates):
1 Pb 0.750 0.250 0.500
2 Pb 0.250 0.750 0.500
3 Hg 0.392 0.392 0.215
4 Hg 0.608 0.608 0.785
5 Rb 0.000 0.000 0.000

uncorrected energy	-1.945	eV per atom
DFT formation energy	-148	meV/atom



Record 3
This record from Alexandria describes an optimized crystal structure of RbHg2Pb. The functional is PBE.

a = 4.051 Å, b = 4.051 Å, c = 8.226 Å
α = 90.00°, β = 90.00°, γ = 90.00°
Atoms (fractional coordinates):
1 Pb 0.500 0.500 0.000
2 Hg 0.000 0.000 0.792
3 Hg 0.000 0.000 0.208
4 Rb 0.500 0.500 0.500

uncorrected energy	-1.431	eV per atom
DFT formation energy	-111	meV/atom



Record 4
This record from Alexandria describes an optimized crystal structure of RbHgPb. The functional is PBE.

a = 4.141 Å, b = 4.141 Å, c = 7.235 Å
α = 106.63°, β = 106.63°, γ = 90.00°
Atoms (fractional coordinates):
1 Pb 0.293 0.293 0.587
2 Hg 0.701 0.701 0.401
3 Rb 0.006 0.006 0.012

uncorrected energy	-1.744	eV per atom
DFT formation energy	-84	meV/atom



Record 5
This record from Alexandria describes an optimized crystal structure of Rb3HgPb. The functional is PBE.

a = 7.222 Å, b = 7.222 Å, c = 7.222 Å
α = 90.00°, β = 90.00°, γ = 90.00°
Site moments in Bohr magnetons follow the coordinates.
Atoms (fractional coordinates):
1 Pb 0.000 0.000 0.000  0.32
2 Hg 0.500 0.500 0.500  -0.01
3 Rb 0.000 0.500 0.000  0.01
4 Rb 0.000 0.000 0.500  0.03
5 Rb 0.500 0.000 0.000  0.01

uncorrected energy	-1.329	eV per atom
DFT formation energy	53	meV/atom



Record 6
This record from Alexandria describes an optimized crystal structure of RbHgPb. The functional is PBE.

a = 6.105 Å, b = 11.334 Å, c = 8.076 Å
α = 84.16°, β = 67.79°, γ = 74.38°
Atoms (fractional coordinates):
1 Rb 0.478 0.757 0.287
2 Rb 0.235 0.243 0.287
3 Rb 0.765 0.757 0.713
4 Rb 0.522 0.243 0.713
5 Pb 0.812 0.000 0.377
6 Pb 0.929 0.143 0.000
7 Pb 0.071 0.857 0.000
8 Pb 0.188 0.000 0.623
9 Hg 0.107 0.574 0.213
10 Hg 0.680 0.426 0.213
11 Hg 0.320 0.574 0.787
12 Hg 0.893 0.426 0.787

uncorrected energy	-1.774	eV per atom
DFT formation energy	-115	meV/atom



Record 7
This record from Alexandria describes an optimized crystal structure of RbHg6Pb. The functional is PBE.

a = 5.337 Å, b = 5.337 Å, c = 9.445 Å
α = 90.00°, β = 90.00°, γ = 90.00°
Atoms (fractional coordinates):
1 Rb 0.000 0.000 0.000
2 Hg 0.500 0.000 0.681
3 Hg 0.000 0.500 0.681
4 Hg 0.500 0.500 0.161
5 Hg 0.500 0.500 0.839
6 Hg 0.000 0.500 0.319
7 Hg 0.500 0.000 0.319
8 Pb 0.000 0.000 0.500

uncorrected energy	-0.916	eV per atom
DFT formation energy	-105	meV/atom



Record 8
This record from Alexandria describes an optimized crystal structure of Rb2Hg2Pb. The functional is PBE.

a = 5.230 Å, b = 7.091 Å, c = 7.091 Å
α = 56.25°, β = 68.36°, γ = 68.36°
Atoms (fractional coordinates):
1 Rb 0.302 0.198 0.698
2 Rb 0.698 0.802 0.302
3 Hg 0.000 0.241 0.259
4 Hg 0.000 0.759 0.741
5 Pb 0.500 0.500 0.000

uncorrected energy	-1.468	eV per atom
DFT formation energy	-218	meV/atom



Record 9
This record from Alexandria describes an optimized crystal structure of RbHgPb3. The functional is PBE.

a = 4.921 Å, b = 4.923 Å, c = 8.334 Å
α = 72.81°, β = 72.82°, γ = 90.13°
Atoms (fractional coordinates):
1 Rb 0.409 0.213 0.886
2 Hg 0.004 0.807 0.697
3 Pb 0.652 0.955 0.402
4 Pb 0.152 0.455 0.402
5 Pb 0.792 0.595 0.123

uncorrected energy	-2.593	eV per atom
DFT formation energy	-114	meV/atom



Record 10
This record from Alexandria describes an optimized crystal structure of Rb2HgPb. The functional is PBE.

a = 3.963 Å, b = 3.963 Å, c = 10.640 Å
α = 90.00°, β = 90.00°, γ = 90.00°
Site moments in Bohr magnetons follow the coordinates.
Atoms (fractional coordinates):
1 Pb 0.500 0.500 0.500  0.12
2 Hg 0.500 0.500 0.000  0.01
3 Rb 0.000 0.000 0.751  0.01
4 Rb 0.000 0.000 0.249  0.01

uncorrected energy	-1.543	eV per atom
DFT formation energy	-57	meV/atom



Record 11
This record from Alexandria describes an optimized crystal structure of Rb3HgPb. The functional is PBE.

a = 9.104 Å, b = 9.104 Å, c = 8.627 Å
α = 106.51°, β = 119.92°, γ = 104.95°
Atoms (fractional coordinates):
1 Rb 0.818 0.015 0.226
2 Rb 0.211 0.407 0.226
3 Rb 0.789 0.593 0.774
4 Rb 0.728 0.445 0.173
5 Rb 0.182 0.985 0.774
6 Rb 0.272 0.555 0.827
7 Hg 0.641 0.779 0.420
8 Hg 0.359 0.221 0.580
9 Pb 0.663 0.071 0.734
10 Pb 0.337 0.929 0.266

uncorrected energy	-1.455	eV per atom
DFT formation energy	-73	meV/atom



Record 12
This record from Alexandria describes an optimized crystal structure of Rb2HgPb7. The functional is PBE.

a = 5.250 Å, b = 5.250 Å, c = 13.786 Å
α = 90.00°, β = 90.00°, γ = 90.00°
Atoms (fractional coordinates):
1 Rb 0.500 0.000 0.757
2 Rb 0.000 0.500 0.243
3 Hg 0.500 0.500 0.000
4 Pb 0.000 0.500 0.872
5 Pb 0.500 0.000 0.363
6 Pb 0.500 0.000 0.128
7 Pb 0.000 0.500 0.637
8 Pb 0.000 0.000 0.500
9 Pb 0.000 0.000 0.000
10 Pb 0.500 0.500 0.500

uncorrected energy	-2.900	eV per atom
DFT formation energy	-80	meV/atom



Record 13
This record from Alexandria describes an optimized crystal structure of RbHg2RhPb. The functional is PBE.

a = 5.443 Å, b = 5.443 Å, c = 5.191 Å
α = 90.00°, β = 90.00°, γ = 90.00°
Atoms (fractional coordinates):
1 Pb 0.000 0.000 0.500
2 Rh 0.000 0.000 0.000
3 Hg 0.000 0.500 0.000
4 Hg 0.500 0.000 0.000
5 Rb 0.500 0.500 0.500

uncorrected energy	-2.656	eV per atom
DFT formation energy	-129	meV/atom



Record 14
This record from Alexandria describes an optimized crystal structure of RbHgPbS2. The functional is PBE.

a = 4.488 Å, b = 7.518 Å, c = 9.521 Å
α = 96.89°, β = 90.00°, γ = 90.00°
Atoms (fractional coordinates):
1 Rb 0.122 0.500 0.750
2 Rb 0.878 0.500 0.250
3 Hg 0.000 0.000 0.000
4 Hg 0.000 0.000 0.500
5 Pb 0.493 0.000 0.250
6 Pb 0.507 0.000 0.750
7 S 0.643 0.753 0.978
8 S 0.643 0.247 0.522
9 S 0.357 0.753 0.478
10 S 0.357 0.247 0.022

E_form (uncorrected)	-0.411	eV per atom
uncorrected energy	-3.058	eV per atom



Record 15
This record from Alexandria describes an optimized crystal structure of RbHgSb2Pb2. The functional is PBE.

a = 4.694 Å, b = 7.195 Å, c = 13.702 Å
α = 90.00°, β = 90.00°, γ = 90.00°
Atoms (fractional coordinates):
1 Rb 0.500 0.500 0.000
2 Rb 0.000 0.000 0.500
3 Hg 0.000 0.000 0.000
4 Hg 0.500 0.500 0.500
5 Sb 0.500 0.774 0.329
6 Sb 0.500 0.226 0.671
7 Sb 0.000 0.726 0.829
8 Sb 0.000 0.274 0.171
9 Pb 0.500 0.214 0.306
10 Pb 0.000 0.714 0.194
11 Pb 0.500 0.786 0.694
12 Pb 0.000 0.286 0.806

E_form (uncorrected)	-0.101	eV per atom
uncorrected energy	-2.923	eV per atom



Record 16
This record from Alexandria describes an optimized crystal structure of RbHgSbPb. The functional is PBE.

a = 5.767 Å, b = 5.767 Å, c = 5.767 Å
α = 60.00°, β = 60.00°, γ = 60.00°
Atoms (fractional coordinates):
1 Pb 0.500 0.500 0.500
2 Sb 0.250 0.250 0.250
3 Hg 0.750 0.750 0.750
4 Rb 0.000 0.000 0.000

E_form (uncorrected)	-0.129	eV per atom
uncorrected energy	-2.404	eV per atom



Record 17
This record from Alexandria describes an optimized crystal structure of RbHgSbPb. The functional is PBE.

a = 4.825 Å, b = 4.825 Å, c = 8.470 Å
α = 73.45°, β = 73.45°, γ = 60.00°
Atoms (fractional coordinates):
1 Rb 0.807 0.807 0.578
2 Hg 0.241 0.241 0.277
3 Sb 0.035 0.035 0.896
4 Pb 0.643 0.643 0.071

E_form (uncorrected)	-0.191	eV per atom
uncorrected energy	-2.466	eV per atom



Record 18
This record from Alexandria describes an optimized crystal structure of RbHgSb2Pb4. The functional is PBE.

a = 5.237 Å, b = 5.237 Å, c = 10.474 Å
α = 90.00°, β = 90.00°, γ = 90.00°
Atoms (fractional coordinates):
1 Rb 0.000 0.000 0.500
2 Hg 0.000 0.000 0.000
3 Sb 0.500 0.500 0.348
4 Sb 0.500 0.500 0.652
5 Pb 0.000 0.500 0.171
6 Pb 0.500 0.000 0.829
7 Pb 0.500 0.000 0.171
8 Pb 0.000 0.500 0.829

E_form (uncorrected)	-0.094	eV per atom
uncorrected energy	-3.137	eV per atom



Record 19
This record from Alexandria describes an optimized crystal structure of Rb2Hg6SbPb. The functional is PBE.

a = 8.953 Å, b = 8.037 Å, c = 10.894 Å
α = 90.00°, β = 90.00°, γ = 90.00°
Atoms (fractional coordinates):
1 Rb 0.500 0.784 0.278
2 Rb 0.000 0.216 0.778
3 Rb 0.500 0.784 0.722
4 Rb 0.000 0.216 0.222
5 Hg 0.500 0.317 0.219
6 Hg 0.500 0.317 0.781
7 Hg 0.000 0.683 0.281
8 Hg 0.000 0.683 0.719
9 Hg 0.278 0.093 0.500
10 Hg 0.722 0.093 0.500
11 Hg 0.170 0.506 0.500
12 Hg 0.830 0.506 0.500
13 Hg 0.670 0.494 0.000
14 Hg 0.330 0.494 0.000
15 Hg 0.222 0.907 0.000
16 Hg 0.778 0.907 0.000
17 Sb 0.000 0.918 0.500
18 Sb 0.500 0.082 0.000
19 Pb 0.500 0.372 0.500
20 Pb 0.000 0.628 0.000

E_form (uncorrected)	-0.121	eV per atom
uncorrected energy	-1.279	eV per atom



Record 20
This record from Alexandria describes an optimized crystal structure of Rb2HgSb3Pb4. The functional is PBE.

a = 5.577 Å, b = 5.577 Å, c = 12.302 Å
α = 90.00°, β = 90.00°, γ = 90.00°
Atoms (fractional coordinates):
1 Rb 0.500 0.000 0.262
2 Rb 0.000 0.500 0.738
3 Hg 0.500 0.500 0.500
4 Sb 0.000 0.000 0.500
5 Sb 0.500 0.000 0.867
6 Sb 0.000 0.500 0.133
7 Pb 0.500 0.500 0.000
8 Pb 0.000 0.000 0.000
9 Pb 0.500 0.000 0.616
10 Pb 0.000 0.500 0.384

E_form (uncorrected)	-0.157	eV per atom
uncorrected energy	-3.101	eV per atom



Record 21
This record from Alexandria describes an optimized crystal structure of RbScHgPb2. The functional is PBE.

a = 6.114 Å, b = 5.566 Å, c = 6.114 Å
α = 90.00°, β = 90.00°, γ = 90.00°
Site moments in Bohr magnetons follow the coordinates.
Atoms (fractional coordinates):
1 Pb 0.000 0.000 0.500  -0.02
2 Pb 0.500 0.000 0.000  -0.04
3 Sc 0.000 0.500 0.000  0.59
4 Hg 0.500 0.500 0.500  -0.01
5 Rb 0.000 0.000 0.000  0.05

uncorrected energy	-1.719	eV per atom
DFT formation energy	1285	meV/atom



Record 22
This record from Alexandria describes an optimized crystal structure of RbHgPb2Se4. The functional is PBE.

a = 4.406 Å, b = 7.740 Å, c = 15.684 Å
α = 90.00°, β = 90.00°, γ = 106.54°
Atoms (fractional coordinates):
1 Rb 0.119 0.239 0.750
2 Rb 0.881 0.761 0.250
3 Hg 0.839 0.678 0.750
4 Hg 0.161 0.322 0.250
5 Pb 0.372 0.745 0.555
6 Pb 0.628 0.255 0.055
7 Pb 0.628 0.255 0.445
8 Pb 0.372 0.745 0.945
9 Se 0.259 0.518 0.106
10 Se 0.741 0.482 0.606
11 Se 0.741 0.482 0.894
12 Se 0.259 0.518 0.394
13 Se 0.000 0.000 0.500
14 Se 0.000 0.000 0.000
15 Se 0.441 0.881 0.750
16 Se 0.559 0.119 0.250

E_form (uncorrected)	-0.493	eV per atom
uncorrected energy	-3.322	eV per atom



Record 23
This record from Alexandria describes an optimized crystal structure of Rb2Hg2PbSe4. The functional is PBE.

a = 4.471 Å, b = 8.230 Å, c = 8.734 Å
α = 108.64°, β = 104.83°, γ = 90.00°
Atoms (fractional coordinates):
1 Rb 0.127 0.554 0.255
2 Rb 0.873 0.446 0.745
3 Hg 0.665 0.987 0.329
4 Hg 0.335 0.013 0.671
5 Pb 0.000 0.000 0.000
6 Se 0.206 0.190 0.412
7 Se 0.794 0.810 0.588
8 Se 0.517 0.747 0.034
9 Se 0.483 0.253 0.966

E_form (uncorrected)	-0.639	eV per atom
uncorrected energy	-2.882	eV per atom



Record 24
This record from Alexandria describes an optimized crystal structure of RbHg2PbSe. The functional is PBE.

a = 5.901 Å, b = 5.901 Å, c = 5.847 Å
α = 90.00°, β = 90.00°, γ = 90.00°
Atoms (fractional coordinates):
1 Pb 0.000 0.000 0.000
2 Se 0.000 0.000 0.500
3 Hg 0.000 0.500 0.000
4 Hg 0.500 0.000 0.000
5 Rb 0.500 0.500 0.500

E_form (uncorrected)	-0.230	eV per atom
uncorrected energy	-1.982	eV per atom



Record 25
This record from Alexandria describes an optimized crystal structure of Rb2SnHg3Pb4. The functional is PBE.

a = 5.139 Å, b = 5.139 Å, c = 13.118 Å
α = 90.00°, β = 90.00°, γ = 90.00°
Atoms (fractional coordinates):
1 Rb 0.500 0.000 0.253
2 Rb 0.000 0.500 0.747
3 Sn 0.500 0.500 0.500
4 Hg 0.000 0.000 0.500
5 Hg 0.500 0.000 0.863
6 Hg 0.000 0.500 0.137
7 Pb 0.500 0.500 0.000
8 Pb 0.000 0.000 0.000
9 Pb 0.500 0.000 0.633
10 Pb 0.000 0.500 0.367

uncorrected energy	-2.279	eV per atom
DFT formation energy	-112	meV/atom